Entry 1:
PBE KAuBr2, relaxed; crystal system = orthorhombic; E_form (uncorrected) = -254 kJ/mol of formula units
1.0
-0.831 4.897 -5.975
-4.459 0.489 -6.345
0.781 -1.115 7.650
Au Br K
1 2 1
direct
0.789 0.289 0.500
0.225 0.725 0.500
0.941 0.941 0.000
0.545 0.545 0.000


Entry 2:
PBE TlRe2Ag, relaxed; crystal system = orthorhombic; DFT formation energy = 951 meV per atom
1.0
-2.699 -1.808 4.599
-4.154 -3.785 -0.358
5.405 1.269 -0.937
Ag Re Tl
1 2 1
direct
0.250 0.750 0.500
0.997 0.997 0.000
0.503 0.503 0.000
0.750 0.250 0.500


Entry 3:
PBE KNi2SbAs, relaxed; crystal system = monoclinic; E_form (uncorrected) = -145 kJ/mol of formula units
1.0
-1.196 -3.351 1.692
6.791 -2.293 0.261
0.930 3.197 6.990
Ni As K Sb
4 2 2 2
direct
0.750 0.928 0.622
0.750 0.255 0.498
0.250 0.072 0.378
0.250 0.745 0.502
0.750 0.911 0.319
0.250 0.089 0.681
0.250 0.759 0.998
0.750 0.241 0.002
0.250 0.429 0.345
0.750 0.571 0.655


Entry 4:
PBE Zr4Tc3Ru, relaxed; crystal system = orthorhombic; DFT formation energy = -438 meV per atom
1.0
3.278 0.000 0.000
0.000 4.659 0.000
0.000 0.000 9.326
Tc Ru Zr
3 1 4
direct
0.500 0.000 0.249
0.500 0.000 0.751
0.500 0.500 0.500
0.500 0.500 0.000
0.000 0.500 0.250
0.000 0.500 0.750
0.000 0.000 0.500
0.000 0.000 0.000


Entry 5:
PBE NaNd3Bi4, relaxed; crystal system = cubic; DFT formation energy = -645 meV per atom
1.0
-2.954 -4.320 3.898
5.818 -2.263 1.901
0.094 4.336 4.876
Bi Nd Na
4 3 1
direct
0.500 0.500 0.500
0.000 0.000 0.500
0.500 0.000 0.000
0.000 0.500 0.000
0.000 0.500 0.500
0.500 0.500 0.000
0.500 0.000 0.500
0.000 0.000 0.000


Entry 6:
PBE Nd2Sm3Cd4, relaxed; crystal system = orthorhombic; DFT formation energy = -153 meV per atom
1.0
-3.183 4.089 4.502
4.663 -3.128 6.138
8.102 4.690 -3.765
Cd Nd Sm
8 4 6
direct
0.160 0.987 0.321
0.840 0.013 0.679
0.827 0.250 0.153
0.660 0.513 0.321
0.173 0.750 0.847
0.340 0.487 0.679
0.673 0.750 0.847
0.327 0.250 0.153
0.591 0.902 0.182
0.091 0.598 0.182
0.409 0.098 0.818
0.909 0.402 0.818
0.497 0.250 0.495
0.503 0.750 0.505
0.500 0.500 0.000
0.997 0.250 0.495
0.000 0.000 0.000
0.003 0.750 0.505


Entry 7:
PBE Ag4Au, relaxed; crystal system = orthorhombic; DFT formation energy = -14 meV per atom
1.0
2.921 0.000 0.000
1.460 7.725 -0.066
0.000 1.131 3.960
Ag Au
4 1
direct
0.000 0.001 0.000
0.200 0.599 0.200
0.400 0.200 0.400
0.800 0.400 0.800
0.600 0.800 0.600


Entry 8:
PBE SrMnW2, relaxed; crystal system = trigonal; DFT formation energy = 942 meV per atom
1.0
-6.305 -6.526 3.280
-3.620 -7.863 4.264
-5.010 -5.638 6.018
Sr W Mn
1 2 1
direct
0.750 0.750 0.750
0.252 0.252 0.252
0.983 0.983 0.983
0.515 0.515 0.515